Entry from the Alexandria database: an optimized crystal structure of AcTbPtO6 (PBE).

- N(E_F) (states/eV per cell) = 7.8
- formation energy without anion corrections (meV/atom) = -2014

abc: 5.5937 5.5937 5.3035
angles: 90.00 90.00 120.00
Space group P312 (No. 149)
Symmetry-distinct sites (fractional):
Ac1 0.0000 0.0000 0.0000
Tb1 0.3333 0.6667 0.5000
Pt1 0.6667 0.3333 0.5000
O1 0.3779 0.0380 0.7142

---

Entry from the Alexandria database: an optimized crystal structure of LiSbO3 (PBE).

- N(E_F) (states/eV per cell) = 0.0
- formation energy without anion corrections (meV/atom) = -1430

abc: 5.4206 5.4206 5.4626
angles: 90.00 90.00 120.00
Space group P-6c2 (No. 188)
Symmetry-distinct sites (fractional):
Li1 0.0000 0.0000 0.0000
Sb1 0.3333 0.6667 0.0000
O1 0.0915 0.3598 0.2500

---

Entry from the Alexandria database: an optimized crystal structure of Ac2CdN (PBE).

- excess energy over the best structure of this formula in the dataset (meV/atom) = 487
- N(E_F) (states/eV per cell) = 3.3
- formation energy without anion corrections (meV/atom) = -210

abc: 3.420 3.420 8.561
angles: 90.00 90.00 90.00
Space group P4/mmm (No. 123)
Symmetry-distinct sites (fractional):
Ac1 0.000 0.000 0.186
Cd1 0.500 0.500 0.500
N1 0.500 0.500 0.000

---

Entry from the Alexandria database: an optimized crystal structure of Co3BPt (PBE).

- formation energy from the elements (meV/atom) = 75
- excess energy over the best structure of this formula in the dataset (meV/atom) = 0
- N(E_F) (states/eV per cell) = 4.9

abc: 3.835 3.835 3.835
angles: 90.00 90.00 90.00
Space group Pm-3m (No. 221)
Symmetry-distinct sites (fractional):
Co1 0.000 0.000 0.500
B1 0.000 0.000 0.000
Pt1 0.500 0.500 0.500